# TmZn5Ni7 | Alexandria via LeMat-Bulk | PBE-GGA | optimized geometry
# Fermi-level density of states: 8.2 states/eV/f.u.
# space-group type: No. 44
# magnetic moment: 0.0 μB/f.u.
# energy relative to the elements: -211 meV per atom
data_TmZn5Ni7
_cell_length_a 6.393
_cell_length_b 6.393
_cell_length_c 6.393
_cell_angle_alpha 134.76
_cell_angle_beta 98.11
_cell_angle_gamma 98.90
_symmetry_space_group_name_H-M 'P 1'
_symmetry_Int_Tables_number 1
loop_
_symmetry_equiv_pos_as_xyz
'x,y,z'
loop_
_atom_site_label
_atom_site_type_symbol
_atom_site_fract_x
_atom_site_fract_y
_atom_site_fract_z
Tm1 Tm 0.000 0.000 0.000
Zn1 Zn 0.487 0.492 0.497
Zn2 Zn 0.487 0.989 0.994
Zn3 Zn 0.774 0.274 0.500
Zn4 Zn 0.995 0.492 0.006
Zn5 Zn 0.995 0.989 0.503
Ni1 Ni 0.212 0.712 0.500
Ni2 Ni 0.214 0.490 0.724
Ni3 Ni 0.345 0.989 0.355
Ni4 Ni 0.347 0.347 0.000
Ni5 Ni 0.634 0.989 0.645
Ni6 Ni 0.636 0.636 0.000
Ni7 Ni 0.766 0.490 0.276

# TmZnNi3 | Alexandria via LeMat-Bulk | PBE-GGA | optimized geometry
# Fermi-level density of states: 4.3 states/eV/f.u.
# space-group type: No. 63
# magnetic moment: 0.3 μB/f.u.
# energy relative to the elements: -9 meV per atom
data_TmZnNi3
_cell_length_a 8.319
_cell_length_b 8.319
_cell_length_c 4.484
_cell_angle_alpha 90.00
_cell_angle_beta 90.00
_cell_angle_gamma 147.93
_symmetry_space_group_name_H-M 'P 1'
_symmetry_Int_Tables_number 1
loop_
_symmetry_equiv_pos_as_xyz
'x,y,z'
loop_
_atom_site_label
_atom_site_type_symbol
_atom_site_fract_x
_atom_site_fract_y
_atom_site_fract_z
Tm1 Tm 0.085 0.915 0.750
Tm2 Tm 0.915 0.085 0.250
Zn1 Zn 0.362 0.638 0.750
Zn2 Zn 0.638 0.362 0.250
Ni1 Ni 0.031 0.489 0.250
Ni2 Ni 0.489 0.031 0.750
Ni3 Ni 0.500 0.500 0.000
Ni4 Ni 0.500 0.500 0.500
Ni5 Ni 0.511 0.969 0.250
Ni6 Ni 0.969 0.511 0.750

# Tm2ZnNi2 | Alexandria via LeMat-Bulk | PBE-GGA | optimized geometry
# Fermi-level density of states: 2.6 states/eV/f.u.
# space-group type: No. 15
# magnetic moment: 0.0 μB/f.u.
# energy relative to the elements: -494 meV per atom
data_Tm2ZnNi2
_cell_length_a 5.338
_cell_length_b 5.338
_cell_length_c 7.604
_cell_angle_alpha 103.37
_cell_angle_beta 103.37
_cell_angle_gamma 59.22
_symmetry_space_group_name_H-M 'P 1'
_symmetry_Int_Tables_number 1
loop_
_symmetry_equiv_pos_as_xyz
'x,y,z'
loop_
_atom_site_label
_atom_site_type_symbol
_atom_site_fract_x
_atom_site_fract_y
_atom_site_fract_z
Tm1 Tm 0.004 0.701 0.853
Tm2 Tm 0.299 0.996 0.647
Tm3 Tm 0.701 0.004 0.353
Tm4 Tm 0.996 0.299 0.147
Zn1 Zn 0.344 0.656 0.250
Zn2 Zn 0.656 0.344 0.750
Ni1 Ni 0.221 0.502 0.496
Ni2 Ni 0.498 0.779 0.004
Ni3 Ni 0.502 0.221 0.996
Ni4 Ni 0.779 0.498 0.504

# Tm2Zn7Ni | Alexandria via LeMat-Bulk | PBE-GGA | optimized geometry
# Fermi-level density of states: 4.7 states/eV/f.u.
# space-group type: No. 115
# magnetic moment: 0.0 μB/f.u.
# energy relative to the elements: -271 meV per atom
data_Tm2Zn7Ni
_cell_length_a 3.982
_cell_length_b 3.982
_cell_length_c 10.982
_cell_angle_alpha 90.00
_cell_angle_beta 90.00
_cell_angle_gamma 90.00
_symmetry_space_group_name_H-M 'P 1'
_symmetry_Int_Tables_number 1
loop_
_symmetry_equiv_pos_as_xyz
'x,y,z'
loop_
_atom_site_label
_atom_site_type_symbol
_atom_site_fract_x
_atom_site_fract_y
_atom_site_fract_z
Tm1 Tm 0.000 0.500 0.239
Tm2 Tm 0.500 0.000 0.761
Zn1 Zn 0.000 0.000 0.000
Zn2 Zn 0.000 0.000 0.500
Zn3 Zn 0.000 0.500 0.645
Zn4 Zn 0.000 0.500 0.867
Zn5 Zn 0.500 0.000 0.133
Zn6 Zn 0.500 0.000 0.355
Zn7 Zn 0.500 0.500 0.500
Ni1 Ni 0.500 0.500 0.000